## PuNiB4 (PBE-GGA)

Data for a geometry-optimized PuNiB4 structure.

Properties
VASP energy = -98.8 eV/cell
energy relative to the elements = -0.429 eV per atom
space group = No. 65
M_tot = 9.5 Bohr magnetons per cell

a = 5.9286 Å, b = 5.9286 Å, c = 3.4071 Å
α = 90.00°, β = 90.00°, γ = 104.11°
Positions (direct):
Pu  0.1997  0.8003  0.0000
Pu  0.8003  0.1997  0.0000
Ni  0.3244  0.3244  0.0000
Ni  0.6756  0.6756  0.0000
B  0.1201  0.4320  0.5000
B  0.1265  0.1265  0.5000
B  0.4078  0.5922  0.5000
B  0.4320  0.1201  0.5000
B  0.5680  0.8799  0.5000
B  0.5922  0.4078  0.5000
B  0.8735  0.8735  0.5000
B  0.8799  0.5680  0.5000